Compound: FeClF
Source: the Alexandria database
Functional: GGA+U
Structure: relaxed

Results
energy above the lowest structure with this stoichiometry: 1.17 eV per formula unit
Fermi-level density of states: 1.190 states/eV per atom

Unit cell a=5.4397 b=3.4189 c=3.4189 alpha=120.00 beta=90.00 gamma=90.00
Last column: magnetic moment on the atom in μB.
Element x y z (fractional)
F 0.2002 0.3333 0.6667  0.06
Fe 0.0341 0.0000 0.0000  3.79
Cl 0.7658 0.6667 0.3333  0.10